Entry 1:
This record from OQMD describes a relaxed Nb2HgTe crystal. The functional is PBE-GGA.

Lattice parameters (Å, degrees): 6.9403 6.9403 6.9403 90.00 90.00 90.00
Space group F-43m (No. 216)
Unique sites:
Nb 0.0000 0.0000 0.0000 [4 per cell]
Nb 0.2500 0.2500 0.2500 [4 per cell]
Hg 0.2500 0.2500 0.7500 [4 per cell]
Te 0.0000 0.0000 0.5000 [4 per cell]

- E (eV/atom) = -5.351

---

Entry 2:
This record from OQMD describes a relaxed NbTlHgTe3 crystal. The functional is PBE-GGA.

Lattice parameters (Å, degrees): 4.1094 15.6373 11.2330 90.00 90.00 90.00
Space group Cmcm (No. 63)
Unique sites:
Nb 0.0000 0.0000 0.0000 [4 per cell]
Tl 0.0000 0.2427 0.2500 [4 per cell]
Hg 0.0000 0.4427 0.7500 [4 per cell]
Te 0.0000 0.0726 0.7500 [4 per cell]
Te 0.0000 0.3678 0.5238 [8 per cell]

- E (eV/atom) = -3.786